# Rb3Sm3PdO8 | Alexandria | PBE | relaxed
data_Rb3Sm3PdO8
_chemical_formula_sum 'Rb9 Sm9 Pd3 O24'
_cell_length_a 6.9910
_cell_length_b 6.9910
_cell_length_c 19.8155
_cell_angle_alpha 90.00
_cell_angle_beta 90.00
_cell_angle_gamma 120.00
_symmetry_space_group_name_H-M 'R -3 m'
_symmetry_Int_Tables_number 166
_symmetry_space_group_name_Hall '-R 3 2"'
loop_
_atom_site_label
_atom_site_fract_x
_atom_site_fract_y
_atom_site_fract_z
_atom_site_occupancy
Rb1 0.0000 0.5000 0.0000 1
Sm1 0.0000 0.5000 0.5000 1
Pd1 0.0000 0.0000 0.5000 1
O1 0.0000 0.0000 0.2254 1
O2 0.0299 0.5150 0.2224 1
# - E (eV per atom) = -6.28
# - magnetic moment (μB/f.u.) = 0.000



# Rb2NiAgH | Alexandria | PBE | relaxed
data_Rb2NiAgH
_chemical_formula_sum 'Rb2 Ni1 Ag1 H1'
_cell_length_a 6.637
_cell_length_b 6.637
_cell_length_c 3.535
_cell_angle_alpha 90.00
_cell_angle_beta 90.00
_cell_angle_gamma 90.00
_symmetry_space_group_name_H-M 'P 4/m m m'
_symmetry_Int_Tables_number 123
_symmetry_space_group_name_Hall '-P 4 2'
loop_
_atom_site_label
_atom_site_fract_x
_atom_site_fract_y
_atom_site_fract_z
_atom_site_occupancy
Rb1 0.000 0.500 0.000 1
Ni1 0.000 0.000 0.500 1
Ag1 0.500 0.500 0.000 1
H1 0.500 0.500 0.500 1
# - E (eV per atom) = -2.18
# - magnetic moment (μB/f.u.) = 0.238



# Te2OsRh | Alexandria | PBE | relaxed
data_Te2OsRh
_chemical_formula_sum 'Te4 Os2 Rh2'
_cell_length_a 8.460
_cell_length_b 3.333
_cell_length_c 6.511
_cell_angle_alpha 90.00
_cell_angle_beta 97.02
_cell_angle_gamma 90.00
_symmetry_space_group_name_H-M 'C 1 m 1'
_symmetry_Int_Tables_number 8
_symmetry_space_group_name_Hall 'C -2y'
loop_
_atom_site_label
_atom_site_fract_x
_atom_site_fract_y
_atom_site_fract_z
_atom_site_occupancy
Te1 0.000 0.000 0.000 1
Te2 0.198 0.000 0.508 1
Os1 0.472 0.000 0.352 1
Rh1 0.223 0.500 0.109 1
# - excess energy over the best structure of this formula in the dataset (meV per atom) = 330
# - E (eV per atom) = -5.91
# - magnetic moment (μB/f.u.) = 0.000



# Ce3HgPt8 | Alexandria | PBE | relaxed
data_Ce3HgPt8
_chemical_formula_sum 'Ce9 Hg3 Pt24'
_cell_length_a 5.4611
_cell_length_b 5.4611
_cell_length_c 26.8274
_cell_angle_alpha 90.00
_cell_angle_beta 90.00
_cell_angle_gamma 120.00
_symmetry_space_group_name_H-M 'R 3 m'
_symmetry_Int_Tables_number 160
_symmetry_space_group_name_Hall 'R 3 -2"'
loop_
_atom_site_label
_atom_site_fract_x
_atom_site_fract_y
_atom_site_fract_z
_atom_site_occupancy
Ce1 0.0000 0.0000 0.0000 1
Ce2 0.0000 0.0000 0.1275 1
Ce3 0.0000 0.0000 0.6152 1
Hg1 0.0000 0.0000 0.4931 1
Pt1 0.0000 0.0000 0.3101 1
Pt2 0.0000 0.0000 0.8101 1
Pt3 0.0030 0.5015 0.5610 1
Pt4 0.1674 0.3347 0.3922 1
# - E (eV per atom) = -6.45
# - magnetic moment (μB/f.u.) = 1.822